No. 1
The following is a PBE calculation of an optimized crystal structure of PuCo2Ni, from Alexandria via LeMat-Bulk.

Crystal system: tetragonal
Density of states at the Fermi level (states/eV per cell): 10.519
Space group: P4/mmm
Uncorrected energy (eV per atom): -8.592

Lattice parameters (Å, degrees): 3.872 3.872 3.670 90.00 90.00 90.00
Sites, in units of the cell vectors:
Pu 0.000 0.000 0.000
Co 0.000 0.500 0.500
Co 0.500 0.000 0.500
Ni 0.500 0.500 0.000


No. 2
The following is a PBE calculation of an optimized crystal structure of Pu2CoNi, from Alexandria via LeMat-Bulk.

Crystal system: cubic
Density of states at the Fermi level (states/eV per cell): 14.639
Space group: Fm-3m
E above lowest polymorph (eV per atom): 0.0000

Lattice parameters (Å, degrees): 4.701 4.701 4.701 60.00 60.00 60.00
Sites, in units of the cell vectors:
Pu 0.250 0.250 0.250
Pu 0.750 0.750 0.750
Co 0.000 0.000 0.000
Ni 0.500 0.500 0.500


No. 3
The following is a PBE calculation of an optimized crystal structure of Pu2Co2Ni15, from Alexandria via LeMat-Bulk.

Crystal system: trigonal
Density of states at the Fermi level (states/eV per cell): 55.641
Space group: R-3m
Uncorrected energy (eV per atom): -6.879

Lattice parameters (Å, degrees): 6.257 6.257 6.257 82.74 82.74 82.74
Sites, in units of the cell vectors:
Pu 0.157 0.157 0.157
Pu 0.843 0.843 0.843
Co 0.408 0.408 0.408
Co 0.592 0.592 0.592
Ni 0.000 0.500 0.500
Ni 0.156 0.156 0.653
Ni 0.156 0.653 0.156
Ni 0.201 0.500 0.799
Ni 0.201 0.799 0.500
Ni 0.347 0.844 0.844
Ni 0.500 0.000 0.500
Ni 0.500 0.201 0.799
Ni 0.500 0.500 0.000
Ni 0.500 0.799 0.201
Ni 0.653 0.156 0.156
Ni 0.799 0.201 0.500
Ni 0.799 0.500 0.201
Ni 0.844 0.347 0.844
Ni 0.844 0.844 0.347


No. 4
The following is a PBE calculation of an optimized crystal structure of Pu3Co7Ni2, from Alexandria via LeMat-Bulk.

Crystal system: trigonal
Density of states at the Fermi level (states/eV per cell): 24.297
Space group: R-3m
Uncorrected energy (eV per atom): -8.840

Lattice parameters (Å, degrees): 8.611 8.611 8.611 33.19 33.19 33.19
Sites, in units of the cell vectors:
Pu 0.000 0.000 0.000
Pu 0.140 0.140 0.140
Pu 0.860 0.860 0.860
Co 0.081 0.582 0.582
Co 0.418 0.418 0.919
Co 0.418 0.919 0.418
Co 0.500 0.500 0.500
Co 0.582 0.081 0.582
Co 0.582 0.582 0.081
Co 0.919 0.418 0.418
Ni 0.333 0.333 0.333
Ni 0.667 0.667 0.667


No. 5
The following is a PBE calculation of an optimized crystal structure of Pu2CoNi, from Alexandria via LeMat-Bulk.

Crystal system: tetragonal
Density of states at the Fermi level (states/eV per cell): 15.722
Space group: P4/mmm
E above lowest polymorph (eV per atom): 0.0003

Lattice parameters (Å, degrees): 3.305 3.305 6.744 90.00 90.00 90.00
Sites, in units of the cell vectors:
Pu 0.000 0.000 0.245
Pu 0.000 0.000 0.755
Co 0.500 0.500 0.000
Ni 0.500 0.500 0.500


No. 6
The following is a PBE calculation of an optimized crystal structure of PuCo2Ni5, from Alexandria via LeMat-Bulk.

Crystal system: orthorhombic
Density of states at the Fermi level (states/eV per cell): 14.645
Space group: Immm
Uncorrected energy (eV per atom): -7.150

Lattice parameters (Å, degrees): 5.782 5.782 5.782 144.63 105.01 85.74
Sites, in units of the cell vectors:
Pu 0.000 0.000 0.000
Co 0.222 0.722 0.500
Co 0.778 0.278 0.500
Ni 0.172 0.350 0.822
Ni 0.472 0.650 0.822
Ni 0.500 0.000 0.500
Ni 0.528 0.350 0.178
Ni 0.828 0.650 0.178